Below is a relaxed Pm2NdZr crystal, with properties calculated at the GGA-PBE level.

space-group type = P4/mmm
energy relative to the lowest polymorph listed for this composition = 64 meV per atom
D(E_F) = 1.839 states/eV/atom
energy of formation = 0.180 eV/atom

```
data_Pm2NdZr
_symmetry_space_group_name_H-M 'P 1'
_symmetry_Int_Tables_number 1
_cell_length_a 4.0901
_cell_length_b 4.0901
_cell_length_c 7.4279
_cell_angle_alpha 90.00
_cell_angle_beta 90.00
_cell_angle_gamma 90.00
loop_
_symmetry_equiv_pos_as_xyz
'x,y,z'
loop_
_atom_site_label
_atom_site_fract_x
_atom_site_fract_y
_atom_site_fract_z
Zr1 0.5000 0.5000 0.0000
Nd1 0.5000 0.5000 0.5000
Pm1 0.0000 0.0000 0.2197
Pm2 0.0000 0.0000 0.7803
```